*i*
# Ac6TlIr2, relaxed, DFT PBE
data_Ac6TlIr2
_chemical_formula_sum 'Ac24 Tl4 Ir8'
_symmetry_space_group_name_H-M 'C 1 2/c 1'
_symmetry_Int_Tables_number 15
_cell_length_a 15.457
_cell_length_b 10.719
_cell_length_c 8.219
_cell_angle_alpha 90.00
_cell_angle_beta 105.42
_cell_angle_gamma 90.00
loop_
_symmetry_equiv_pos_as_xyz
'x,y,z'
'-x,-y,-z'
'-x,y,-z+1/2'
'x,-y,z+1/2'
'x+1/2,y+1/2,z'
'-x+1/2,-y+1/2,-z'
'-x+1/2,y+1/2,-z+1/2'
'x+1/2,-y+1/2,z+1/2'
loop_
_atom_site_label
_atom_site_type_symbol
_atom_site_fract_x
_atom_site_fract_y
_atom_site_fract_z
Ac1 Ac 0.127 0.000 0.313
Ac2 Ac 0.144 0.317 0.073
Ac3 Ac 0.144 0.319 0.571
Tl1 Tl 0.000 0.499 0.750
Ir1 Ir 0.231 0.497 0.866
# * N(E_F): 9.40 states/eV/f.u.

*ii*
# Ac6TlIr2, relaxed, DFT PBE
data_Ac6TlIr2
_chemical_formula_sum 'Ac12 Tl2 Ir4'
_symmetry_space_group_name_H-M 'C 1 2/m 1'
_symmetry_Int_Tables_number 12
_cell_length_a 13.406
_cell_length_b 4.379
_cell_length_c 12.750
_cell_angle_alpha 90.00
_cell_angle_beta 106.08
_cell_angle_gamma 90.00
loop_
_symmetry_equiv_pos_as_xyz
'x,y,z'
'-x,-y,-z'
'-x,y,-z'
'x,-y,z'
'x+1/2,y+1/2,z'
'-x+1/2,-y+1/2,-z'
'-x+1/2,y+1/2,-z'
'x+1/2,-y+1/2,z'
loop_
_atom_site_label
_atom_site_type_symbol
_atom_site_fract_x
_atom_site_fract_y
_atom_site_fract_z
Ac1 Ac 0.029 0.000 0.278
Ac2 Ac 0.165 0.500 0.576
Ac3 Ac 0.202 0.500 0.120
Tl1 Tl 0.000 0.000 0.000
Ir1 Ir 0.180 0.500 0.342
# * N(E_F): 9.75 states/eV/f.u.

Most stable = *ii*